# La3Zn2Cu | Alexandria | PBE | relaxed
# Formation energy from the elements: -0.249 eV/atom
# Mass density: 6.51 g cm⁻³
# V: 26.0 Å³ per atom
# Raw total energy: -0.140 Ha/atom
# DOS at the Fermi energy: 6.44 states/eV/cell
# Crystal system: tetragonal
data_La3Zn2Cu
_chemical_formula_sum 'La3 Zn2 Cu1'
_space_group_name_H-M_alt 'P 1'
_space_group_IT_number 1
_cell_length_a 3.752
_cell_length_b 3.752
_cell_length_c 11.076
_cell_angle_alpha 90.00
_cell_angle_beta 90.00
_cell_angle_gamma 90.00
loop_
_space_group_symop_operation_xyz
'x,y,z'
loop_
_atom_site_label
_atom_site_fract_x
_atom_site_fract_y
_atom_site_fract_z
La1 0.000 0.000 0.000
La2 0.000 0.000 0.339
La3 0.000 0.000 0.661
Zn1 0.500 0.500 0.166
Zn2 0.500 0.500 0.834
Cu1 0.500 0.500 0.500